Compound: ScZnS2
Source: Alexandria via LeMat-Bulk
Functional: GGA-PBE
Structure: relaxed

POSCAR file:
```
ScZnS2
1.0
1.880 1.085 7.393
-1.880 1.085 7.393
0.000 -2.171 7.393
Sc Zn S
1 1 2
Cartesian
0.000 0.000 0.000
0.000 0.000 11.090
0.000 0.000 2.374
0.000 0.000 19.806
```

Raw total energy (eV per atom): -4.4725
Space group: R-3m, No. 166
E_form (uncorrected) (eV/atom): -0.51

Compound: ScZnS2
Source: Alexandria via LeMat-Bulk
Functional: GGA-PBE
Structure: relaxed

POSCAR file:
```
ScZnS2
1.0
-2.875 2.875 5.424
2.875 -2.875 5.424
2.875 2.875 -5.424
Sc Zn S
2 2 4
Cartesian
0.000 0.000 0.000
0.000 2.875 2.712
2.875 0.000 2.712
0.000 0.000 5.424
1.438 -1.313 4.068
1.562 1.438 1.356
1.438 4.188 -1.356
1.313 1.438 6.780
```

Raw total energy (eV per atom): -5.0078
Space group: I-42d, No. 122
E_form (uncorrected) (eV/atom): -1.04

Compound: Sc2ZnS4
Source: Alexandria via LeMat-Bulk
Functional: GGA-PBE
Structure: relaxed

POSCAR file:
```
Sc2ZnS4
1.0
0.000 5.272 5.272
5.272 0.000 5.272
5.272 5.272 0.000
Sc Zn S
4 2 8
Cartesian
0.000 0.000 0.000
2.636 2.636 0.000
2.636 0.000 2.636
0.000 2.636 2.636
3.954 3.954 3.954
6.589 6.589 6.589
7.960 5.219 5.219
2.583 2.583 2.583
5.324 5.324 2.583
5.324 2.583 5.324
5.219 7.960 5.219
5.219 5.219 7.960
7.960 7.960 7.960
2.583 5.324 5.324
```

Raw total energy (eV per atom): -5.9408
Space group: Fd-3m, No. 227
E_form (uncorrected) (eV/atom): -1.59

Compound: Sc5ZnS8
Source: Alexandria via LeMat-Bulk
Functional: GGA-PBE
Structure: relaxed

POSCAR file:
```
Sc5ZnS8
1.0
0.000 5.324 5.324
5.324 0.000 5.324
5.324 5.324 0.000
Sc Zn S
5 1 8
Cartesian
0.000 0.000 0.000
6.621 4.028 4.028
4.028 6.621 4.028
4.028 4.028 6.621
6.621 6.621 6.621
2.662 2.662 2.662
4.041 4.041 4.041
6.608 6.608 4.041
6.608 4.041 6.608
9.233 6.740 6.740
4.041 6.608 6.608
6.740 9.233 6.740
6.740 6.740 9.233
9.233 9.233 9.233
```

Raw total energy (eV per atom): -6.4238
Space group: F-43m, No. 216
E_form (uncorrected) (eV/atom): -1.71

Compound: ScZnS2
Source: Alexandria via LeMat-Bulk
Functional: GGA-PBE
Structure: relaxed

POSCAR file:
```
ScZnS2
1.0
1.862 1.075 7.462
-1.862 1.075 7.462
0.000 -2.150 7.462
Sc Zn S
1 1 2
Cartesian
0.000 0.000 0.000
0.000 0.000 11.194
0.000 0.000 8.894
0.000 0.000 13.493
```

Raw total energy (eV per atom): -5.0699
Space group: R-3m, No. 166
E_form (uncorrected) (eV/atom): -1.10

Compound: Sc3ZnS6
Source: Alexandria via LeMat-Bulk
Functional: GGA-PBE
Structure: relaxed

POSCAR file:
```
Sc3ZnS6
1.0
5.127 -6.392 0.000
5.127 6.392 0.000
0.000 0.000 6.071
Sc Zn S
6 2 12
Cartesian
5.127 5.036 3.035
3.294 1.330 3.541
3.294 -1.330 0.506
6.960 1.330 3.541
6.960 -1.330 0.506
5.127 -5.036 0.000
5.127 2.587 0.762
5.127 -2.587 3.798
3.325 3.470 1.949
1.673 0.318 1.754
1.673 -0.318 4.789
5.127 2.847 4.569
6.930 3.470 1.949
5.127 0.438 1.727
5.127 -0.438 4.762
3.325 -3.470 4.984
5.127 -2.847 1.534
8.582 0.318 1.754
8.582 -0.318 4.789
6.930 -3.470 4.984
```

Raw total energy (eV per atom): -5.9225
Space group: Cmc2_1, No. 36
E_form (uncorrected) (eV/atom): -1.42